LaSeBr: optimized geometry, GGA-PBE.

Properties
ΔE_f (raw) in meV per atom: -1415
V in Å³ per cell: 92.6
DOS at the Fermi energy in states/eV/f.u.: 0.00

a b c (Å): 5.079 5.079 5.079
angles (deg): 60.00 60.00 60.00
Sites, in units of the cell vectors:
La (0.000, 0.000, 0.000)
Se (0.250, 0.250, 0.250)
Br (0.500, 0.500, 0.500)